1.
{"formula": "Sc4NiRh2Au", "functional": "PBE-GGA", "state": "optimized geometry", "ef_ev_per_atom": -0.80, "total_magnetization_mub_per_atom": 0.000, "lattice": [[-0.373, -3.880, -2.495], [3.809, -2.196, -1.447], [1.200, -6.107, 5.026]], "species": ["Sc", "Sc", "Sc", "Sc", "Ni", "Rh", "Rh", "Au"], "frac_coords": [[0.379, 0.379, 0.862], [0.871, 0.871, 0.386], [0.129, 0.129, 0.614], [0.621, 0.621, 0.138], [0.500, 0.500, 0.500], [0.751, 0.751, 0.747], [0.249, 0.249, 0.253], [0.000, 0.000, 0.000]]}

2.
{"formula": "Sc2NiRhAu", "functional": "PBE-GGA", "state": "optimized geometry", "ef_ev_per_atom": 0.00, "total_magnetization_mub_per_atom": 0.097, "lattice": [[4.895, 0.000, 0.000], [0.000, 4.533, 0.000], [0.000, 0.000, 4.895]], "species": ["Sc", "Sc", "Rh", "Au", "Ni"], "frac_coords": [[0.000, 0.000, 0.500], [0.500, 0.000, 0.000], [0.000, 0.000, 0.000], [0.500, 0.500, 0.500], [0.000, 0.500, 0.000]]}

3.
{"formula": "NiSnRhAu", "functional": "PBE-GGA", "state": "optimized geometry", "ef_ev_per_atom": -0.14, "total_magnetization_mub_per_atom": 0.000, "lattice": [[4.486, 0.000, 0.000], [2.243, 3.885, 0.000], [2.243, 1.295, 3.663]], "species": ["Rh", "Au", "Sn", "Ni"], "frac_coords": [[0.000, 0.000, 0.000], [0.750, 0.750, 0.750], [0.250, 0.250, 0.250], [0.500, 0.500, 0.500]]}

4.
{"formula": "NiTeRh2Au", "functional": "PBE-GGA", "state": "optimized geometry", "formation_energy_uncorrected_ev_per_atom": 0.875, "total_magnetization_mub_per_atom": 0.000, "lattice": [[4.836, 0.000, 0.000], [0.000, 4.579, 0.000], [0.000, 0.000, 4.836]], "species": ["Rh", "Rh", "Te", "Au", "Ni"], "frac_coords": [[0.000, 0.000, 0.500], [0.500, 0.000, 0.000], [0.000, 0.000, 0.000], [0.500, 0.500, 0.500], [0.000, 0.500, 0.000]]}

5.
{"formula": "TlNiRhAu", "functional": "PBE-GGA", "state": "optimized geometry", "ef_ev_per_atom": 0.13, "total_magnetization_mub_per_atom": 0.000, "lattice": [[4.529, 0.000, 0.000], [2.265, 3.922, 0.000], [2.265, 1.307, 3.698]], "species": ["Rh", "Tl", "Au", "Ni"], "frac_coords": [[0.750, 0.750, 0.750], [0.000, 0.000, 0.000], [0.500, 0.500, 0.500], [0.250, 0.250, 0.250]]}

6.
{"formula": "NiRhWAu2", "functional": "PBE-GGA", "state": "optimized geometry", "ef_ev_per_atom": 1.43, "total_magnetization_mub_per_atom": 0.877, "lattice": [[4.655, 0.000, 0.000], [0.000, 4.655, 0.000], [0.000, 0.000, 4.400]], "species": ["Rh", "Au", "Au", "W", "Ni"], "frac_coords": [[0.000, 0.000, 0.500], [0.000, 0.500, 0.000], [0.500, 0.000, 0.000], [0.500, 0.500, 0.500], [0.000, 0.000, 0.000]]}

7.
{"formula": "Y2NiRhAu", "functional": "PBE-GGA", "state": "optimized geometry", "ef_ev_per_atom": -0.11, "total_magnetization_mub_per_atom": 0.116, "lattice": [[-0.748, 0.172, -5.205], [-1.287, -4.331, 0.042], [-4.988, 1.489, 0.766]], "species": ["Y", "Y", "Rh", "Au", "Ni"], "frac_coords": [[0.000, 0.000, 0.500], [0.500, 0.000, 0.000], [0.000, 0.000, 0.000], [0.500, 0.500, 0.500], [0.000, 0.500, 0.000]]}

8.
{"formula": "YNi2RhAu", "functional": "PBE-GGA", "state": "optimized geometry", "ef_ev_per_atom": 0.49, "total_magnetization_mub_per_atom": 0.402, "lattice": [[-3.225, -1.290, -2.988], [3.024, -3.826, -1.613], [-1.821, -2.772, 3.161]], "species": ["Y", "Rh", "Au", "Ni", "Ni"], "frac_coords": [[0.000, 0.500, 0.000], [0.000, 0.000, 0.000], [0.500, 0.500, 0.500], [0.000, 0.000, 0.500], [0.500, 0.000, 0.000]]}

9.
{"formula": "NiRuAu4", "functional": "PBE-GGA", "state": "optimized geometry", "ef_ev_per_atom": 0.68, "total_magnetization_mub_per_atom": 0.557, "lattice": [[0.000, 3.810, 3.810], [3.810, 0.000, 3.810], [3.810, 3.810, 0.000]], "species": ["Ni", "Ru", "Au", "Au", "Au", "Au"], "frac_coords": [[0.750, 0.750, 0.750], [0.000, 0.000, 0.000], [0.875, 0.375, 0.375], [0.375, 0.375, 0.875], [0.375, 0.875, 0.375], [0.375, 0.375, 0.375]]}

10.
{"formula": "Ni2RuAu", "functional": "PBE-GGA", "state": "optimized geometry", "ef_ev_per_atom": 0.25, "total_magnetization_mub_per_atom": 0.178, "lattice": [[-0.452, 2.537, -0.783], [0.893, -0.899, -3.427], [-5.276, -1.262, -1.043]], "species": ["Au", "Ni", "Ni", "Ru"], "frac_coords": [[0.500, 0.500, 0.763], [0.000, 0.000, 0.021], [0.500, 0.500, 0.253], [0.000, 0.000, 0.463]]}

11.
{"formula": "NiRu2Au", "functional": "PBE-GGA", "state": "optimized geometry", "ef_ev_per_atom": 0.32, "total_magnetization_mub_per_atom": 0.000, "lattice": [[-0.734, 4.346, 1.848], [-2.454, 2.651, 3.129], [2.838, -0.088, 3.697]], "species": ["Au", "Ni", "Ru", "Ru"], "frac_coords": [[0.750, 0.750, 0.750], [0.250, 0.250, 0.250], [0.986, 0.986, 0.023], [0.514, 0.514, 0.477]]}

12.
{"formula": "Ni2RuAu", "functional": "PBE-GGA", "state": "optimized geometry", "ef_ev_per_atom": 0.29, "total_magnetization_mub_per_atom": 0.814, "lattice": [[-1.586, 3.481, -1.011], [-3.548, -1.719, -0.355], [-0.665, 0.676, 3.372]], "species": ["Au", "Ni", "Ni", "Ru"], "frac_coords": [[0.000, 0.500, 0.500], [0.000, 0.000, 0.000], [0.500, 0.500, 0.000], [0.500, 0.000, 0.500]]}

13.
{"formula": "NiRu2Au", "functional": "PBE-GGA", "state": "optimized geometry", "ef_ev_per_atom": 0.28, "total_magnetization_mub_per_atom": 0.000, "lattice": [[-2.381, -4.053, 0.399], [-0.989, -1.715, -4.282], [4.018, 1.515, 1.951]], "species": ["Au", "Ni", "Ru", "Ru"], "frac_coords": [[0.500, 0.500, 0.000], [0.250, 0.750, 0.500], [0.000, 0.000, 0.000], [0.750, 0.250, 0.500]]}

14.
{"formula": "NiRu2Au", "functional": "PBE-GGA", "state": "optimized geometry", "ef_ev_per_atom": 0.50, "total_magnetization_mub_per_atom": 0.573, "lattice": [[4.359, 0.000, 0.000], [2.179, 3.775, 0.000], [2.179, 1.258, 3.559]], "species": ["Au", "Ni", "Ru", "Ru"], "frac_coords": [[0.500, 0.500, 0.500], [0.750, 0.750, 0.750], [0.000, 0.000, 0.000], [0.250, 0.250, 0.250]]}